Below is Dy3Ir after structural relaxation, with properties calculated at the GGA-PBEsol level.

Cell lengths 7.1060, 9.1679, 6.2426 Å; angles 90.00, 90.00, 90.00 degrees
Closest atoms and distances in Å follow each position.
Space group Pnma (No. 62)
Inequivalent atoms, fractional coordinates:
Dy1 0.0335 0.2500 0.1315 x4  2 Ir 2.73-2.83
Dy2 0.1773 0.0619 0.6720 x8  2 Ir 2.82-2.85
Ir1 0.1170 0.7500 0.4496 x4  6 Dy 2.73-2.85

Computed properties:
Formation energy, eV/atom: -0.558

***

Below is InPWS2 after structural relaxation, with properties calculated at the GGA-PBEsol level.

Cell lengths 4.7993, 4.7993, 4.8388 Å; angles 90.00, 90.00, 90.00 degrees
Closest atoms and distances in Å follow each position.
Space group P4/mmm (No. 123)
Inequivalent atoms, fractional coordinates:
In1 0.0000 0.0000 0.0000 x1  4 S 2.40, 2 P 2.42
P1 0.0000 0.0000 0.5000 x1  2 In 2.42
W1 0.5000 0.5000 0.5000 x1  4 P 3.39, 8 S 3.41
S1 0.0000 0.5000 0.0000 x2  2 In 2.40

Computed properties:
Energy relative to the elements, uncorrected, kJ/mol of atoms: 156.3

***

| no. | E (eV/atom) |
| --- | --- |
| 1 | -6.747 |
| 2 | -4.650 |